DFT (GGA-PBE) results for an optimized crystal structure of LaZnB.

Structure (CIF):
```
data_LaZnB
_cell_length_a 7.9948
_cell_length_b 4.6004
_cell_length_c 7.0984
_cell_angle_alpha 90.00
_cell_angle_beta 111.85
_cell_angle_gamma 90.00
_symmetry_space_group_name_H-M 'C 1 2/m 1'
_symmetry_Int_Tables_number 12
loop_
_symmetry_equiv_pos_as_xyz
'x,y,z'
'-x,-y,-z'
'-x,y,-z'
'x,-y,z'
'x+1/2,y+1/2,z'
'-x+1/2,-y+1/2,-z'
'-x+1/2,y+1/2,-z'
'x+1/2,-y+1/2,z'
loop_
_atom_site_label
_atom_site_fract_x
_atom_site_fract_y
_atom_site_fract_z
La1 0.0989 0.0000 0.2968
Zn1 0.1519 0.5000 0.9562
B1 0.0400 0.5000 0.6175
```

Calculated values
E_form = -47.8 kJ/mol of formula units
ΔE to the lowest computed polymorph = 0.41 eV/f.u.
total DFT energy (no corrections) = -53.498 eV per cell